Entry 1:
DFT (GGA-PBE) results for crystalline RbNa2F2 at its relaxed geometry.

Values from the calculation:
E_tot   -3.18 eV/atom
Energy relative to the lowest polymorph listed for this composition   148.3 kJ/mol of formula units
Formation energy (no corrections)   -823.3 kJ/mol of formula units

a = 7.442 Å, b = 7.442 Å, c = 3.808 Å
α = 90.00°, β = 90.00°, γ = 90.00°
Positions (direct):
F: 0.357 0.857 0.000
F: 0.857 0.643 0.000
F: 0.643 0.143 0.000
Na: 0.129 0.629 0.500
Rb: 0.000 0.000 0.000
Na: 0.371 0.129 0.500
Rb: 0.500 0.500 0.000
Na: 0.871 0.371 0.500
F: 0.143 0.357 0.000
Na: 0.629 0.871 0.500

***

Entry 2:
DFT (GGA-PBE) results for crystalline RbNa2F2 at its relaxed geometry.

Values from the calculation:
E_tot   -3.48 eV/atom
Energy relative to the lowest polymorph listed for this composition   0.0 kJ/mol of formula units
Formation energy (no corrections)   -971.5 kJ/mol of formula units

a = 4.451 Å, b = 4.451 Å, c = 7.336 Å
α = 72.34°, β = 72.34°, γ = 90.00°
Positions (direct):
Na: 0.286 0.286 0.428
F: 0.250 0.750 0.500
F: 0.750 0.250 0.500
Na: 0.714 0.714 0.572
Rb: 0.000 0.000 0.000

***

Entry 3:
DFT (GGA-PBE) results for crystalline RbNa3F at its relaxed geometry.

Values from the calculation:
E_tot   -2.13 eV/atom
Energy relative to the lowest polymorph listed for this composition   0.0 kJ/mol of formula units
Formation energy (no corrections)   -374.2 kJ/mol of formula units

a = 5.514 Å, b = 5.514 Å, c = 5.514 Å
α = 90.00°, β = 90.00°, γ = 90.00°
Positions (direct):
Rb: 0.500 0.500 0.500
Na: 0.000 0.500 0.000
F: 0.000 0.000 0.000
Na: 0.000 0.000 0.500
Na: 0.500 0.000 0.000

***

Entry 4:
DFT (GGA-PBE) results for crystalline Rb4NaF5 at its relaxed geometry.

Values from the calculation:
E_tot   -4.09 eV/atom
Energy relative to the lowest polymorph listed for this composition   2.0 kJ/mol of formula units
Formation energy (no corrections)   -2544.8 kJ/mol of formula units

a = 3.902 Å, b = 3.902 Å, c = 16.224 Å
α = 83.09°, β = 83.09°, γ = 60.00°
Positions (direct):
Rb: 0.702 0.702 0.894
Rb: 0.298 0.298 0.106
F: 0.808 0.808 0.575
F: 0.404 0.404 0.787
Rb: 0.894 0.894 0.318
F: 0.596 0.596 0.213
F: 0.192 0.192 0.425
Rb: 0.106 0.106 0.682
F: 0.000 0.000 0.000
Na: 0.500 0.500 0.500